No. 1
First-principles (PBE-GGA) data for crystalline NaHOF2 at its relaxed geometry, as listed in the Alexandria database.

The value obtained for the raw total energy is -3.59 eV/atom. The value obtained for the spin magnetization is 2.0 Bohr magnetons per cell.

It has space group P4/mmm (No. 123), with a = 4.207 Å, b = 4.207 Å, c = 2.572 Å, α = 90.00°, β = 90.00° and γ = 90.00°. Symmetry generates all atoms from Na at (0.000, 0.000, 0.000), H at (0.500, 0.500, 0.500), O at (0.500, 0.500, 0.000) and F at (0.000, 0.500, 0.500).

No. 2
First-principles (PBE-GGA) data for crystalline Nd6Sm2Er at its relaxed geometry, as listed in the Alexandria database.

The formation enthalpy at 0 K comes out at 113.2 meV/atom. The value obtained for the spin magnetization is 0.0 Bohr magnetons per cell.

It has space group C2/c (No. 15), with a = 12.775 Å, b = 14.930 Å, c = 6.763 Å, α = 90.00°, β = 105.42° and γ = 90.00°. Symmetry generates all atoms from Nd at (0.045, 0.187, 0.018), Nd at (0.136, 0.402, 0.818), Nd at (0.235, 0.193, 0.704), Sm at (0.143, 0.020, 0.365) and Er at (0.000, 0.390, 0.250).

No. 3
First-principles (PBE-GGA) data for crystalline Rb2AlPtCl6 at its relaxed geometry, as listed in the Alexandria database.

The formation energy from raw total energies comes out at -1.234 eV per atom. The value obtained for the spin magnetization is 2.0 Bohr magnetons per cell.

It has space group I4/mmm (No. 139), with a = 7.345 Å, b = 7.345 Å, c = 9.827 Å, α = 90.00°, β = 90.00° and γ = 90.00°. Symmetry generates all atoms from Rb at (0.000, 0.500, 0.250), Al at (0.000, 0.000, 0.000), Pt at (0.000, 0.000, 0.500), Cl at (0.000, 0.000, 0.259) and Cl at (0.223, 0.223, 0.000).

No. 4
First-principles (PBE-GGA) data for crystalline CaInNi2 at its relaxed geometry, as listed in the Alexandria database.

The formation enthalpy at 0 K comes out at -40.6 meV/atom. The value obtained for the spin magnetization is 0.5 Bohr magnetons per cell.

It has space group P4mm (No. 99), with a = 3.222 Å, b = 3.222 Å, c = 7.037 Å, α = 90.00°, β = 90.00° and γ = 90.00°. Symmetry generates all atoms from Ca at (0.000, 0.000, 0.000), In at (0.500, 0.500, 0.355), Ni at (0.000, 0.000, 0.587) and Ni at (0.500, 0.500, 0.728).

No. 5
First-principles (PBE-GGA) data for crystalline KBe2Os at its relaxed geometry, as listed in the Alexandria database.

The formation enthalpy at 0 K comes out at 600.6 meV/atom. The value obtained for the spin magnetization is 0.0 Bohr magnetons per cell.

It has space group Cm (No. 8), with a = 8.117 Å, b = 2.628 Å, c = 7.024 Å, α = 90.00°, β = 96.17° and γ = 90.00°. Symmetry generates all atoms from K at (0.000, 0.000, 0.000), Be at (0.271, 0.500, 0.377), Be at (0.484, 0.000, 0.537) and Os at (0.221, 0.000, 0.626).

No. 6
First-principles (PBE-GGA) data for crystalline DyY6Ho2Sc3 at its relaxed geometry, as listed in the Alexandria database.

The formation enthalpy at 0 K comes out at 52.3 meV/atom. The value obtained for the spin magnetization is 0.0 Bohr magnetons per cell.

It has space group C2/m (No. 12), with a = 6.060 Å, b = 10.489 Å, c = 11.503 Å, α = 90.00°, β = 100.10° and γ = 90.00°. Symmetry generates all atoms from Dy at (0.000, 0.000, 0.000), Y at (0.247, 0.000, 0.741), Y at (0.247, 0.333, 0.741), Ho at (0.000, 0.333, 0.000), Sc at (0.000, 0.167, 0.500) and Sc at (0.000, 0.500, 0.500).

No. 7
First-principles (PBE-GGA) data for crystalline TmMgZrHg at its relaxed geometry, as listed in the Alexandria database.

The formation enthalpy at 0 K comes out at -89.2 meV/atom. The value obtained for the spin magnetization is 0.9 Bohr magnetons per cell.

It has space group F-43m (No. 216), with a = 7.202 Å, b = 7.202 Å, c = 7.202 Å, α = 90.00°, β = 90.00° and γ = 90.00°. Symmetry generates all atoms from Tm at (0.000, 0.000, 0.000), Mg at (0.250, 0.250, 0.250), Zr at (0.000, 0.000, 0.500) and Hg at (0.250, 0.250, 0.750).

No. 8
First-principles (PBE-GGA) data for crystalline LaTb6Y3Er2 at its relaxed geometry, as listed in the Alexandria database.

The formation enthalpy at 0 K comes out at 21.5 meV/atom. The value obtained for the spin magnetization is 0.0 Bohr magnetons per cell.

It has space group C2/m (No. 12), with a = 6.185 Å, b = 10.706 Å, c = 11.847 Å, α = 90.00°, β = 99.98° and γ = 90.00°. Symmetry generates all atoms from La at (0.000, 0.000, 0.000), Tb at (0.249, 0.333, 0.749), Tb at (0.249, 0.500, 0.251), Y at (0.000, 0.167, 0.500), Y at (0.000, 0.500, 0.500) and Er at (0.000, 0.333, 0.000).

No. 9
First-principles (PBE-GGA) data for crystalline YMgCd2 at its relaxed geometry, as listed in the Alexandria database.

The formation enthalpy at 0 K comes out at -155.6 meV/atom. The value obtained for the spin magnetization is 0.0 Bohr magnetons per cell.

It has space group Imm2 (No. 44), with a = 3.791 Å, b = 5.137 Å, c = 10.161 Å, α = 90.00°, β = 90.00° and γ = 90.00°. Symmetry generates all atoms from Y at (0.000, 0.000, 0.000), Mg at (0.000, 0.500, 0.229), Cd at (0.000, 0.000, 0.489) and Cd at (0.000, 0.500, 0.758).

No. 10
First-principles (PBE-GGA) data for crystalline AcPmSc2 at its relaxed geometry, as listed in the Alexandria database.

The formation enthalpy at 0 K comes out at 146.4 meV/atom. The value obtained for the spin magnetization is 0.0 Bohr magnetons per cell.

It has space group R3m (No. 160, hexagonal axes), with a = 3.6070 Å, b = 3.6070 Å, c = 33.5217 Å, α = 90.00°, β = 90.00° and γ = 120.00°. Symmetry generates all atoms from Ac at (0.0000, 0.0000, 0.0000), Pm at (0.0000, 0.0000, 0.1668), Sc at (0.0000, 0.0000, 0.4184) and Sc at (0.0000, 0.0000, 0.5817).

No. 11
First-principles (PBE-GGA) data for crystalline In2BrN at its relaxed geometry, as listed in the Alexandria database.

The formation energy from raw total energies comes out at 0.835 eV per atom. The value obtained for the spin magnetization is 0.0 Bohr magnetons per cell.

It has space group Fm-3m (No. 225), with a = 6.990 Å, b = 6.990 Å, c = 6.990 Å, α = 90.00°, β = 90.00° and γ = 90.00°. Symmetry generates all atoms from In at (0.250, 0.250, 0.250), Br at (0.000, 0.000, 0.000) and N at (0.000, 0.000, 0.500).

No. 12
First-principles (PBE-GGA) data for crystalline Sr2CrAgBi at its relaxed geometry, as listed in the Alexandria database.

The formation enthalpy at 0 K comes out at 292.8 meV/atom. The value obtained for the spin magnetization is 4.2 Bohr magnetons per cell.

It has space group P4/mmm (No. 123), with a = 6.399 Å, b = 6.399 Å, c = 5.253 Å, α = 90.00°, β = 90.00° and γ = 90.00°. Symmetry generates all atoms from Sr at (0.000, 0.500, 0.000), Cr at (0.000, 0.000, 0.500), Ag at (0.500, 0.500, 0.500) and Bi at (0.000, 0.000, 0.000).

No. 13
First-principles (PBE-GGA) data for crystalline Ba2HgPb2 at its relaxed geometry, as listed in the Alexandria database.

The formation enthalpy at 0 K comes out at -438.3 meV/atom. The value obtained for the spin magnetization is 0.0 Bohr magnetons per cell.

It has space group P4/mbm (No. 127), with a = 8.460 Å, b = 8.460 Å, c = 5.382 Å, α = 90.00°, β = 90.00° and γ = 90.00°. Symmetry generates all atoms from Ba at (0.165, 0.335, 0.000), Hg at (0.000, 0.000, 0.500) and Pb at (0.137, 0.637, 0.500).

No. 14
First-principles (PBE-GGA) data for crystalline ZnSbCl2 at its relaxed geometry, as listed in the Alexandria database.

The formation energy from raw total energies comes out at -0.486 eV per atom. The value obtained for the spin magnetization is 0.0 Bohr magnetons per cell.

It has space group Cm (No. 8), with a = 14.034 Å, b = 3.397 Å, c = 5.372 Å, α = 90.00°, β = 104.90° and γ = 90.00°. Symmetry generates all atoms from Zn at (0.000, 0.000, 0.000), Sb at (0.339, 0.000, 0.783), Cl at (0.120, 0.500, 0.117) and Cl at (0.397, 0.000, 0.381).

No. 15
First-principles (PBE-GGA) data for crystalline KLa2Mn at its relaxed geometry, as listed in the Alexandria database.

The formation enthalpy at 0 K comes out at 441.9 meV/atom. The value obtained for the spin magnetization is 3.8 Bohr magnetons per cell.

It has space group P4mm (No. 99), with a = 3.777 Å, b = 3.777 Å, c = 10.252 Å, α = 90.00°, β = 90.00° and γ = 90.00°. Symmetry generates all atoms from K at (0.000, 0.000, 0.000), La at (0.000, 0.000, 0.592), La at (0.500, 0.500, 0.353) and Mn at (0.500, 0.500, 0.746).

No. 16
First-principles (PBE-GGA) data for crystalline PmMgZrIn at its relaxed geometry, as listed in the Alexandria database.

The formation enthalpy at 0 K comes out at -167.5 meV/atom. The value obtained for the spin magnetization is 0.0 Bohr magnetons per cell.

It has space group F-43m (No. 216), with a = 7.359 Å, b = 7.359 Å, c = 7.359 Å, α = 90.00°, β = 90.00° and γ = 90.00°. Symmetry generates all atoms from Pm at (0.000, 0.000, 0.000), Mg at (0.250, 0.250, 0.750), Zr at (0.000, 0.000, 0.500) and In at (0.250, 0.250, 0.250).

No. 17
First-principles (PBE-GGA) data for crystalline TlSi2Se at its relaxed geometry, as listed in the Alexandria database.

The formation energy from raw total energies comes out at 0.607 eV per atom. The value obtained for the spin magnetization is 0.0 Bohr magnetons per cell.

It has space group F-43m (No. 216), with a = 6.948 Å, b = 6.948 Å, c = 6.948 Å, α = 90.00°, β = 90.00° and γ = 90.00°. Symmetry generates all atoms from Tl at (0.000, 0.000, 0.000), Si at (0.000, 0.000, 0.500), Si at (0.250, 0.250, 0.750) and Se at (0.250, 0.250, 0.250).

No. 18
First-principles (PBE-GGA) data for crystalline Rb4ErTm3Se8 at its relaxed geometry, as listed in the Alexandria database.

The formation energy from raw total energies comes out at -1.726 eV per atom. The value obtained for the spin magnetization is 0.0 Bohr magnetons per cell.

It has space group R-3m (No. 166, hexagonal axes), with a = 8.3914 Å, b = 8.3914 Å, c = 23.9566 Å, α = 90.00°, β = 90.00° and γ = 120.00°. Symmetry generates all atoms from Rb at (0.0000, 0.0000, 0.0000), Rb at (0.0000, 0.5000, 0.0000), Er at (0.0000, 0.0000, 0.5000), Tm at (0.0000, 0.5000, 0.5000), Se at (0.0000, 0.0000, 0.2310) and Se at (0.0009, 0.5004, 0.7688).

No. 19
First-principles (PBE-GGA) data for crystalline Zn2NiPC at its relaxed geometry, as listed in the Alexandria database.

The formation enthalpy at 0 K comes out at 569.6 meV/atom. The value obtained for the spin magnetization is 0.0 Bohr magnetons per cell.

It has space group P4/mmm (No. 123), with a = 4.078 Å, b = 4.078 Å, c = 3.906 Å, α = 90.00°, β = 90.00° and γ = 90.00°. Symmetry generates all atoms from Zn at (0.000, 0.500, 0.000), Ni at (0.000, 0.000, 0.500), P at (0.500, 0.500, 0.500) and C at (0.000, 0.000, 0.000).

No. 20
First-principles (PBE-GGA) data for crystalline GeAsP2Os at its relaxed geometry, as listed in the Alexandria database.

The formation enthalpy at 0 K comes out at 1413.4 meV/atom. The value obtained for the spin magnetization is 0.0 Bohr magnetons per cell.

It has space group P4/mmm (No. 123), with a = 4.763 Å, b = 4.763 Å, c = 4.594 Å, α = 90.00°, β = 90.00° and γ = 90.00°. Symmetry generates all atoms from Ge at (0.000, 0.000, 0.000), As at (0.500, 0.500, 0.500), P at (0.000, 0.500, 0.500) and Os at (0.500, 0.500, 0.000).